# TaAl2Si | the Alexandria database | GGA-PBE | relaxed
data_TaAl2Si
_chemical_formula_sum 'Ta2 Al4 Si2'
_symmetry_space_group_name_H-M 'C 1 2/m 1'
_symmetry_Int_Tables_number 12
_symmetry_space_group_name_Hall '-C 2y'
_cell_length_a 9.8528
_cell_length_b 2.8028
_cell_length_c 4.6494
_cell_angle_alpha 90.00
_cell_angle_beta 93.81
_cell_angle_gamma 90.00
loop_
_atom_site_label
_atom_site_fract_x
_atom_site_fract_y
_atom_site_fract_z
Ta1 0.0000 0.0000 0.0000
Al1 0.2414 0.5000 0.2474
Si1 0.0000 0.5000 0.5000
# Formation energy from raw total energies: -100.9 meV per atom
# Calculated volume: 16.01 Å³ per atom